# 1
A relaxed AlNiBr2 crystal, computed with PBE.

a b c (Å): 3.786 3.786 8.238
angles (deg): 90.00 90.00 123.54
Fractional coordinates of all 4 atoms:
Ni: 0.500 0.500 0.250
Al: 0.500 0.500 0.750
Br: 0.000 0.000 0.046
Br: 0.000 0.000 0.454

The calculation puts the total energy at -3.1083 eV/atom. For the raw formation energy, the calculation gives 0.109 eV per atom. Its distance to the lowest polymorph of the same formula is 383 meV per atom.


# 2
A relaxed AlNi2Br crystal, computed with PBE.

a b c (Å): 4.989 4.989 3.150
angles (deg): 71.69 71.69 111.52
Fractional coordinates of all 4 atoms:
Ni: 0.000 0.000 0.000
Ni: 0.500 0.500 0.000
Al: 0.500 0.000 0.500
Br: 0.000 0.500 0.500

The calculation puts the total energy at -3.9247 eV/atom. For the raw formation energy, the calculation gives 0.320 eV per atom. Its distance to the lowest polymorph of the same formula is 434 meV per atom.


# 3
A relaxed AlNiBr2 crystal, computed with PBE.

a b c (Å): 5.966 5.966 4.903
angles (deg): 84.91 84.91 33.76
Fractional coordinates of all 4 atoms:
Ni: 0.624 0.624 0.224
Al: 0.259 0.259 0.294
Br: 0.945 0.945 0.254
Br: 0.673 0.673 0.728

The calculation puts the total energy at -3.4449 eV/atom. For the raw formation energy, the calculation gives -0.227 eV per atom. Its distance to the lowest polymorph of the same formula is 46 meV per atom.


# 4
A relaxed AlNi2Br crystal, computed with PBE.

a b c (Å): 7.766 7.766 7.766
angles (deg): 22.37 22.37 22.37
Fractional coordinates of all 4 atoms:
Ni: 0.995 0.995 0.995
Ni: 0.505 0.505 0.505
Al: 0.250 0.250 0.250
Br: 0.750 0.750 0.750

The calculation puts the total energy at -4.1300 eV/atom. For the raw formation energy, the calculation gives 0.115 eV per atom. Its distance to the lowest polymorph of the same formula is 229 meV per atom.


Which value of raw formation energy does entry 4 give?
0.115 eV per atom


What is the formula in the fourth record?
AlNi2Br


The highest raw formation energy belongs to which entry?
number 2